LaNdSmAl | PBE-GGA | optimized geometry

```
LaNdSmAl
1.0
0.000 3.912 3.912
3.912 0.000 3.912
3.912 3.912 0.000
La Nd Sm Al
1 1 1 1
direct
0.000 0.000 0.000 La
0.500 0.500 0.500 Nd
0.250 0.250 0.250 Sm
0.750 0.750 0.750 Al
```

Properties
* calculated volume: 119.8 Å³ per cell
* energy relative to the elements: -43 meV/atom
* space-group type: No. 216